Here is an optimized crystal structure of TbHgMo from OQMD via LeMat-Bulk. Energies are from GGA-PBE.

* energy of formation from the pure elements: 2.3 eV per formula unit
* total magnetization: 2.39 μB/cell
* symmetry: F-43m (216)

extended XYZ file:
```
3
Lattice="0.0000 3.3872 3.3872 3.3872 0.0000 3.3872 3.3872 3.3872 0.0000" Properties=species:S:1:pos:R:3 pbc="T T T"
Mo 1.6936 1.6936 1.6936
Tb 5.0808 5.0808 5.0808
Hg 0.0000 0.0000 0.0000
```